NbCo2HF PBE+U relaxed; E_tot = -4.96 eV/atom
1.0
3.507 0.000 0.000
0.000 3.507 0.000
0.000 0.000 4.580
Nb Co H F
1 2 1 1
Direct
0.000 0.000 0.000
0.000 0.500 0.500
0.500 0.000 0.500
0.000 0.000 0.500
0.500 0.500 0.000